1.
An optimized crystal structure of Tl2SiSbTe4, computed with PBE.

Cell lengths 9.898, 9.626, 6.541 Å; angles 90.00, 90.00, 90.00 degrees
Fractional coordinates of all 16 atoms:
Tl1 0.227 0.138 0.000
Tl2 0.273 0.862 0.500
Tl3 0.727 0.862 0.500
Tl4 0.773 0.138 0.000
Si1 0.000 0.391 0.602
Si2 0.500 0.609 0.102
Sb1 0.000 0.693 0.056
Sb2 0.500 0.307 0.556
Te1 0.000 0.389 0.998
Te2 0.000 0.659 0.505
Te3 0.203 0.240 0.497
Te4 0.297 0.760 0.997
Te5 0.500 0.341 0.005
Te6 0.500 0.611 0.498
Te7 0.703 0.760 0.997
Te8 0.797 0.240 0.497

Results
total moment: 0.00 μB/cell
formation energy without anion corrections: -83 meV/atom



2.
An optimized crystal structure of TlSiSbTe2, computed with PBE.

Cell lengths 5.413, 5.413, 5.303 Å; angles 90.00, 90.00, 90.00 degrees
Fractional coordinates of all 5 atoms:
Tl1 0.000 0.000 0.000
Si1 0.500 0.500 0.500
Sb1 0.500 0.500 0.000
Te1 0.000 0.500 0.500
Te2 0.500 0.000 0.500

Results
total moment: 0.00 μB/cell
E above lowest polymorph: 0.0 kJ/mol of formula units
formation energy without anion corrections: 281 meV/atom



3.
An optimized crystal structure of Tm8Si3SbTe4, computed with PBE.

Cell lengths 8.537, 8.537, 8.537 Å; angles 59.21, 59.21, 59.21 degrees
Fractional coordinates of all 16 atoms:
Tm1 0.227 0.747 0.747
Tm2 0.239 0.239 0.239
Tm3 0.253 0.253 0.773
Tm4 0.253 0.773 0.253
Tm5 0.747 0.227 0.747
Tm6 0.747 0.747 0.227
Tm7 0.761 0.761 0.761
Tm8 0.773 0.253 0.253
Si1 0.000 0.000 0.500
Si2 0.000 0.500 0.000
Si3 0.500 0.000 0.000
Sb1 0.500 0.500 0.500
Te1 0.000 0.000 0.000
Te2 0.000 0.500 0.500
Te3 0.500 0.000 0.500
Te4 0.500 0.500 0.000

Results
total moment: 0.00 μB/cell
formation energy without anion corrections: -1096 meV/atom



4.
An optimized crystal structure of VSiSb2Te, computed with PBE.

Cell lengths 5.132, 5.132, 5.167 Å; angles 90.00, 90.00, 90.00 degrees
Fractional coordinates of all 5 atoms:
V1 0.000 0.000 0.000
Si1 0.500 0.500 0.500
Sb1 0.000 0.500 0.000
Sb2 0.500 0.000 0.000
Te1 0.000 0.000 0.500

Results
total moment: 1.63 μB/cell
E above lowest polymorph: 0.0 kJ/mol of formula units
formation energy without anion corrections: 657 meV/atom



5.
An optimized crystal structure of VSiSb2Te, computed with PBE.

Cell lengths 5.133, 5.133, 5.166 Å; angles 90.00, 90.00, 90.00 degrees
Fractional coordinates of all 5 atoms:
V1 0.000 0.000 0.000
Si1 0.500 0.500 0.500
Sb1 0.000 0.500 0.500
Sb2 0.500 0.000 0.500
Te1 0.500 0.500 0.000

Results
total moment: 0.09 μB/cell
E above lowest polymorph: 205.5 kJ/mol of formula units
formation energy without anion corrections: 1083 meV/atom



6.
An optimized crystal structure of Y4SiSbTe2, computed with PBE.

Cell lengths 7.496, 4.301, 7.536 Å; angles 90.00, 109.15, 90.00 degrees
Fractional coordinates of all 8 atoms:
Y1 0.228 0.000 0.223
Y2 0.241 0.500 0.771
Y3 0.759 0.500 0.229
Y4 0.772 0.000 0.777
Si1 0.000 0.500 0.000
Sb1 0.500 0.000 0.000
Te1 0.000 0.000 0.500
Te2 0.500 0.500 0.500

Results
total moment: 0.00 μB/cell
formation energy without anion corrections: -1225 meV/atom